Density functional theory data (GGA-PBE) for Re7W5 after structural relaxation.

Properties
Energy above the most stable polymorph in this dataset (eV per atom): 0.147
Calculated formation energy (meV per atom): 458.9
Spin magnetization (μB/atom): 0.0005
Energy (eV/atom): -12.188
ρ (g cm⁻³): 19.21
Space-group type: P6_3/mmc

Cell and atoms, written as extended XYZ:
```
24
Lattice="5.151 0.000 0.000 -2.576 4.461 0.000 0.000 0.000 16.721" Properties=species:S:1:pos:R:3 pbc="T T T"
W 3.893 0.726 12.541
Re -1.288 2.230 8.361
Re 0.000 2.974 10.910
Re -1.288 2.230 0.000
W 1.258 0.726 12.541
W -1.318 3.735 4.180
Re 0.000 2.974 14.172
W 0.000 2.974 2.062
W 2.576 3.008 12.541
Re 2.576 0.000 0.000
Re 0.000 0.000 15.187
Re 2.576 0.000 8.361
W 0.000 1.453 4.180
Re 2.576 1.487 5.811
Re 2.576 1.487 2.549
W 2.576 1.487 14.659
W 0.000 2.974 6.298
Re 0.000 0.000 6.826
W 2.576 1.487 10.423
Re 1.288 2.230 0.000
W 1.318 3.735 4.180
Re 0.000 0.000 9.895
Re 0.000 0.000 1.534
Re 1.288 2.230 8.361
```

=====

Density functional theory data (GGA-PBE) for SmTmNi2Sn after structural relaxation.

Properties
Spin magnetization (μB/atom): 0.0005
Energy (eV/atom): -5.457
ρ (g cm⁻³): 9.03
Space-group type: Amm2

Cell and atoms, written as extended XYZ:
```
5
Lattice="-0.370 2.964 2.113 7.187 0.329 0.796 6.324 2.534 -2.448" Properties=species:S:1:pos:R:3 pbc="T T T"
Sn -0.134 1.493 1.050
Ni 10.622 3.772 -0.266
Sm 4.924 1.043 -0.602
Tm 8.601 1.822 -1.052
Ni 2.455 2.042 0.733
```

=====

Density functional theory data (GGA-PBE) for AlCoNiAu after structural relaxation.

Properties
Energy above the most stable polymorph in this dataset (eV per atom): 0.017
Spin magnetization (μB/atom): 0.3344
Energy (eV/atom): -5.061
ρ (g cm⁻³): 10.64
Space-group type: F-43m

Cell and atoms, written as extended XYZ:
```
4
Lattice="0.000 2.987 2.987 2.987 0.000 2.987 2.987 2.987 0.000" Properties=species:S:1:pos:R:3 pbc="T T T"
Ni 2.987 2.987 2.987
Au 1.494 1.494 1.494
Al 0.000 0.000 0.000
Co 4.481 4.481 4.481
```

=====

Density functional theory data (GGA-PBE) for DyAsPd after structural relaxation.

Properties
Spin magnetization (μB/atom): 0.0001
Energy (eV/atom): -6.009
ρ (g cm⁻³): 9.86
Space-group type: Pnma

Cell and atoms, written as extended XYZ:
```
12
Lattice="-3.186 3.129 -5.450 -2.003 -3.526 -0.853 -5.946 2.228 4.755" Properties=species:S:1:pos:R:3 pbc="T T T"
As -8.120 3.425 -0.118
As -4.986 1.283 1.375
Dy -7.297 0.551 -0.238
Dy -4.729 2.582 -4.595
Pd -7.216 2.326 2.301
As -6.149 0.548 -2.922
Pd -4.562 -1.221 0.665
Pd -3.919 -0.495 -3.848
As -3.015 -1.594 -1.430
Pd -6.573 3.053 -2.212
Dy -3.838 1.280 -1.309
Dy -6.406 -0.750 3.048
```

=====

Density functional theory data (GGA-PBE) for Li2Y2NiSn2Pt after structural relaxation.

Properties
Spin magnetization (μB/atom): 0.0001
Energy (eV/atom): -5.300
ρ (g cm⁻³): 7.74
Space-group type: P-4m2

Cell and atoms, written as extended XYZ:
```
8
Lattice="4.695 0.000 0.000 0.000 4.695 0.000 0.000 0.000 6.650" Properties=species:S:1:pos:R:3 pbc="T T T"
Ni 0.000 0.000 0.000
Sn 2.348 0.000 5.034
Y 0.000 2.348 5.031
Li 2.348 2.348 0.000
Li 0.000 0.000 3.325
Pt 2.348 2.348 3.325
Y 2.348 0.000 1.619
Sn 0.000 2.348 1.616
```

=====

Density functional theory data (GGA-PBE) for KUCo after structural relaxation.

Properties
Energy above the most stable polymorph in this dataset (eV per atom): 0.000
Spin magnetization (μB/atom): 0.8151
Energy (eV/atom): -5.120
ρ (g cm⁻³): 7.59
Space-group type: F-43m

Cell and atoms, written as extended XYZ:
```
3
Lattice="0.000 3.325 3.325 3.325 0.000 3.325 3.325 3.325 0.000" Properties=species:S:1:pos:R:3 pbc="T T T"
Co 0.000 0.000 0.000
U 4.988 4.988 4.988
K 1.663 1.663 1.663
```

=====

Density functional theory data (GGA-PBE) for TaCoTe2 after structural relaxation.

Properties
Spin magnetization (μB/atom): 0.0375
Energy (eV/atom): -5.497
ρ (g cm⁻³): 10.37
Space-group type: F-43m

Cell and atoms, written as extended XYZ:
```
4
Lattice="-0.386 -4.652 1.210 -2.912 -1.319 3.610 -4.071 -2.407 -0.943" Properties=species:S:1:pos:R:3 pbc="T T T"
Te 0.000 0.000 0.000
Te -5.527 -6.283 2.908
Co -1.842 -2.094 0.969
Ta -3.684 -4.189 1.939
```

=====

Density functional theory data (GGA-PBE) for AcFePt after structural relaxation.

Properties
Energy above the most stable polymorph in this dataset (eV per atom): 0.000
Calculated formation energy (meV per atom): -59.8
Spin magnetization (μB/atom): 0.9881
Energy (eV/atom): -6.217
ρ (g cm⁻³): 9.88
Space-group type: F-43m

Cell and atoms, written as extended XYZ:
```
3
Lattice="0.000 3.425 3.425 3.425 0.000 3.425 3.425 3.425 0.000" Properties=species:S:1:pos:R:3 pbc="T T T"
Ac 1.712 1.712 1.712
Fe 5.137 5.137 5.137
Pt 0.000 0.000 0.000
```

=====

> Which value of energy does entry 7 give?

-5.497 eV/atom